The following is a DFT calculation (PBE) of a relaxed Pm2Ga3Cu4 crystal.

SG: No. 64
DFT formation energy, eV per formula unit: -2.95

Cell and atoms, written as POSCAR:
```
Pm2Ga3Cu4
1.0
5.939 0.000 0.000
0.000 7.041 0.000
-2.969 0.000 7.672
Cu Ga Pm
8 6 4
direct
0.832 0.998 0.665
0.815 0.250 0.131
0.332 0.502 0.665
0.668 0.498 0.335
0.168 0.002 0.335
0.185 0.750 0.869
0.685 0.750 0.869
0.315 0.250 0.131
0.500 0.500 0.000
0.985 0.250 0.471
0.015 0.750 0.529
0.000 0.000 0.000
0.485 0.250 0.471
0.515 0.750 0.529
0.389 0.089 0.778
0.889 0.411 0.778
0.111 0.589 0.222
0.611 0.911 0.222
```